The following is a PBE calculation of a geometry-optimized K2CaNiCl6 structure, from Alexandria.

Unit cell a=7.1357 b=7.1357 c=37.6436 alpha=90.00 beta=90.00 gamma=120.00
With the nearest neighbours (Å) after each atom.
Space group R-3m (No. 166, hexagonal axes)
Unique sites:
1 K 0.0000 0.0000 0.1355 x6  9 Cl 3.34-3.58
2 K 0.0000 0.0000 0.3028 x6  9 Cl 3.35-3.58
3 Ca 0.0000 0.0000 0.4137 x6  6 Cl 2.69-2.71
4 Ni 0.0000 0.0000 0.0000 x3  6 Cl 2.42
5 Ni 0.0000 0.0000 0.5000 x3  6 Cl 2.42
6 Cl 0.0134 0.5067 0.1296 x18  1 Ni 2.42, 1 Ca 2.71
7 Cl 0.0159 0.5080 0.7042 x18  1 Ni 2.42, 1 Ca 2.69

Output
uncorrected formation energy: -1.64 eV per atom
final energy: -3.750 eV/atom
magnetization: 1.8 μB per formula unit
mass density: 2.3 g/cm³

The following is a PBE calculation of a geometry-optimized Mn2AgPb structure, from Alexandria.

Unit cell a=3.0934 b=3.0934 c=28.4560 alpha=90.00 beta=90.00 gamma=120.00
With the nearest neighbours (Å) after each atom.
Space group R3m (No. 160, hexagonal axes)
Unique sites:
1 Mn 0.0000 0.0000 0.0000 x3  3 Mn 2.71
2 Mn 0.0000 0.0000 0.2617 x3  3 Mn 2.71, 3 Ag 2.83
3 Ag 0.0000 0.0000 0.5179 x3  3 Mn 2.83, 6 Ag 3.09
4 Pb 0.0000 0.0000 0.7559 x3  6 Pb 3.09, 3 Mn 3.10, 3 Ag 3.25

Output
final energy: -5.727 eV/atom
ΔE_f: 1.99 eV/f.u.
magnetization: 7.6 μB per formula unit
mass density: 9.0 g/cm³

The following is a PBE calculation of a geometry-optimized CaTmMg4 structure, from Alexandria.

Unit cell a=8.6161 b=8.6161 c=8.6161 alpha=90.00 beta=90.00 gamma=90.00
With the nearest neighbours (Å) after each atom.
Space group F-43m (No. 216)
Unique sites:
1 Ca 0.0000 0.0000 0.0000 x4  12 Mg 3.57, 4 Tm 3.73
2 Tm 0.2500 0.2500 0.7500 x4  12 Mg 3.57, 4 Ca 3.73
3 Mg 0.1243 0.1243 0.3757 x16  6 Mg 3.03-3.06

Output
final energy: -2.202 eV/atom
ΔE_f: -0.36 eV/f.u.
magnetization: 0.0 μB per formula unit
mass density: 3.2 g/cm³